[1]
The following is a DFT calculation (PBE) of a relaxed LaBe2MoAu crystal.

Values from the calculation:
DOS at the Fermi energy (states/eV/cell): 4.1
Crystal system: tetragonal
Energy above the lowest structure with this stoichiometry (eV/atom): 1.642
Uncorrected energy (eV per atom): -3.249
DFT formation energy (eV/atom): 2.049

CIF file:
```
data_LaBe2MoAu
_symmetry_space_group_name_H-M 'P 4/m m m'
_symmetry_Int_Tables_number 123
_symmetry_space_group_name_Hall '-P 4 2'
_cell_length_a 4.772
_cell_length_b 4.772
_cell_length_c 4.794
_cell_angle_alpha 90.00
_cell_angle_beta 90.00
_cell_angle_gamma 90.00
loop_
_atom_site_label
_atom_site_type_symbol
_atom_site_fract_x
_atom_site_fract_y
_atom_site_fract_z
La1 La 0.000 0.000 0.000
Be1 Be 0.000 0.500 0.000
Mo1 Mo 0.000 0.000 0.500
Au1 Au 0.500 0.500 0.500
```


[2]
The following is a DFT calculation (PBE) of a relaxed LaBe2MoAu crystal.

Values from the calculation:
DOS at the Fermi energy (states/eV/cell): 5.0
Crystal system: tetragonal
Energy above the lowest structure with this stoichiometry (eV/atom): 0.000
Uncorrected energy (eV per atom): -4.891
DFT formation energy (eV/atom): 0.407

CIF file:
```
data_LaBe2MoAu
_symmetry_space_group_name_H-M 'P 4/m m m'
_symmetry_Int_Tables_number 123
_symmetry_space_group_name_Hall '-P 4 2'
_cell_length_a 4.500
_cell_length_b 4.500
_cell_length_c 5.096
_cell_angle_alpha 90.00
_cell_angle_beta 90.00
_cell_angle_gamma 90.00
loop_
_atom_site_label
_atom_site_type_symbol
_atom_site_fract_x
_atom_site_fract_y
_atom_site_fract_z
La1 La 0.000 0.000 0.000
Be1 Be 0.000 0.500 0.500
Mo1 Mo 0.500 0.500 0.500
Au1 Au 0.500 0.500 0.000
```


[3]
The following is a DFT calculation (PBE) of a relaxed La2BeAuN crystal.

Values from the calculation:
DOS at the Fermi energy (states/eV/cell): 3.4
Crystal system: tetragonal
Uncorrected energy (eV per atom): -5.782
Formation energy from raw total energies (eV/atom): -0.745

CIF file:
```
data_La2BeAuN
_symmetry_space_group_name_H-M 'P 4/m m m'
_symmetry_Int_Tables_number 123
_symmetry_space_group_name_Hall '-P 4 2'
_cell_length_a 5.379
_cell_length_b 5.379
_cell_length_c 3.451
_cell_angle_alpha 90.00
_cell_angle_beta 90.00
_cell_angle_gamma 90.00
loop_
_atom_site_label
_atom_site_type_symbol
_atom_site_fract_x
_atom_site_fract_y
_atom_site_fract_z
La1 La 0.000 0.500 0.000
Be1 Be 0.000 0.000 0.500
Au1 Au 0.500 0.500 0.500
N1 N 0.000 0.000 0.000
```


[4]
The following is a DFT calculation (PBE) of a relaxed LaBePb2Au crystal.

Values from the calculation:
DOS at the Fermi energy (states/eV/cell): 3.8
Crystal system: tetragonal
Uncorrected energy (eV per atom): -3.778
DFT formation energy (eV/atom): 0.091

CIF file:
```
data_LaBePb2Au
_symmetry_space_group_name_H-M 'P 4/m m m'
_symmetry_Int_Tables_number 123
_symmetry_space_group_name_Hall '-P 4 2'
_cell_length_a 5.654
_cell_length_b 5.654
_cell_length_c 4.444
_cell_angle_alpha 90.00
_cell_angle_beta 90.00
_cell_angle_gamma 90.00
loop_
_atom_site_label
_atom_site_type_symbol
_atom_site_fract_x
_atom_site_fract_y
_atom_site_fract_z
La1 La 0.000 0.000 0.000
Be1 Be 0.500 0.500 0.000
Pb1 Pb 0.000 0.500 0.500
Au1 Au 0.500 0.500 0.500
```


[5]
The following is a DFT calculation (PBE) of a relaxed LaBePd2Au crystal.

Values from the calculation:
DOS at the Fermi energy (states/eV/cell): 2.8
Crystal system: tetragonal
Uncorrected energy (eV per atom): -5.056
DFT formation energy (eV/atom): -0.592

CIF file:
```
data_LaBePd2Au
_symmetry_space_group_name_H-M 'P 4/m m m'
_symmetry_Int_Tables_number 123
_symmetry_space_group_name_Hall '-P 4 2'
_cell_length_a 4.536
_cell_length_b 4.536
_cell_length_c 4.555
_cell_angle_alpha 90.00
_cell_angle_beta 90.00
_cell_angle_gamma 90.00
loop_
_atom_site_label
_atom_site_type_symbol
_atom_site_fract_x
_atom_site_fract_y
_atom_site_fract_z
La1 La 0.000 0.000 0.000
Be1 Be 0.500 0.500 0.500
Pd1 Pd 0.000 0.500 0.500
Au1 Au 0.500 0.500 0.000
```


[6]
The following is a DFT calculation (PBE) of a relaxed La2BePd6Au crystal.

Values from the calculation:
DOS at the Fermi energy (states/eV/cell): 3.1
Crystal system: triclinic
Uncorrected energy (eV per atom): -5.432
DFT formation energy (eV/atom): -0.631

CIF file:
```
data_La2BePd6Au
_symmetry_space_group_name_H-M 'P -1'
_symmetry_Int_Tables_number 2
_symmetry_space_group_name_Hall '-P 1'
_cell_length_a 5.526
_cell_length_b 6.212
_cell_length_c 7.020
_cell_angle_alpha 77.15
_cell_angle_beta 66.84
_cell_angle_gamma 63.64
loop_
_atom_site_label
_atom_site_type_symbol
_atom_site_fract_x
_atom_site_fract_y
_atom_site_fract_z
La1 La 0.234 0.242 0.291
Be1 Be 0.000 0.000 0.000
Pd1 Pd 0.237 0.796 0.227
Pd2 Pd 0.243 0.608 0.904
Pd3 Pd 0.260 0.204 0.771
Au1 Au 0.500 0.500 0.500
```


[7]
The following is a DFT calculation (PBE) of a relaxed La3Be2Pd9Au crystal.

Values from the calculation:
DOS at the Fermi energy (states/eV/cell): 5.3
Crystal system: trigonal
Uncorrected energy (eV per atom): -5.454
DFT formation energy (eV/atom): -0.637

CIF file:
```
data_La3Be2Pd9Au
_symmetry_space_group_name_H-M 'P -3 m 1'
_symmetry_Int_Tables_number 164
_symmetry_space_group_name_Hall '-P 3 2"'
_cell_length_a 5.9110
_cell_length_b 5.9110
_cell_length_c 9.6710
_cell_angle_alpha 90.00
_cell_angle_beta 90.00
_cell_angle_gamma 120.00
loop_
_atom_site_label
_atom_site_type_symbol
_atom_site_fract_x
_atom_site_fract_y
_atom_site_fract_z
La1 La 0.0000 0.0000 0.0000
La2 La 0.3333 0.6667 0.6577
Be1 Be 0.3333 0.6667 0.1449
Pd1 Pd 0.0000 0.5000 0.0000
Pd2 Pd 0.1626 0.3253 0.2782
Au1 Au 0.0000 0.0000 0.5000
```


[8]
The following is a DFT calculation (PBE) of a relaxed LaBePd6Au crystal.

Values from the calculation:
DOS at the Fermi energy (states/eV/cell): 15.4
Crystal system: orthorhombic
Uncorrected energy (eV per atom): -5.028
DFT formation energy (eV/atom): -0.241

CIF file:
```
data_LaBePd6Au
_symmetry_space_group_name_H-M 'I m m a'
_symmetry_Int_Tables_number 74
_symmetry_space_group_name_Hall '-I 2b 2'
_cell_length_a 5.927
_cell_length_b 9.287
_cell_length_c 11.609
_cell_angle_alpha 90.00
_cell_angle_beta 90.00
_cell_angle_gamma 90.00
loop_
_atom_site_label
_atom_site_type_symbol
_atom_site_fract_x
_atom_site_fract_y
_atom_site_fract_z
La1 La 0.000 0.250 0.186
Be1 Be 0.000 0.000 0.500
Pd1 Pd 0.000 0.250 0.451
Pd2 Pd 0.000 0.250 0.954
Pd3 Pd 0.237 0.002 0.873
Au1 Au 0.250 0.250 0.750
```


Number 1: total magnetic moment 0.00 μB/atom. Number 2: total magnetic moment 0.00 μB/atom. Number 3: total magnetic moment 0.00 μB/atom. Number 4: total magnetic moment 0.00 μB/atom. Number 5: total magnetic moment 0.00 μB/atom. Number 6: total magnetic moment 0.00 μB/atom. Number 7: total magnetic moment 0.00 μB/atom. Number 8: total magnetic moment 0.00 μB/atom.